# 1
This record from Alexandria via LeMat-Bulk describes a relaxed KMg4Tl crystal. The functional is PBE-GGA.

Properties
* symmetry: F-43m, No. 216
* final energy: -9.3 eV per cell
* formation enthalpy at 0 K: 8.5 kJ per mole of atoms

```
KMg4Tl
1.0
0.000 4.423 4.423
4.423 0.000 4.423
4.423 4.423 0.000
K Mg Tl
1 4 1
Direct
0.000 0.000 0.000 K
0.128 0.624 0.624 Mg
0.624 0.128 0.624 Mg
0.624 0.624 0.128 Mg
0.624 0.624 0.624 Mg
0.250 0.250 0.250 Tl
```

# 2
This record from Alexandria via LeMat-Bulk describes a relaxed Pm6CuNi2Cl3 crystal. The functional is PBE-GGA.

Properties
* symmetry: C2/m, No. 12
* energy relative to the elements, uncorrected: -10.24 eV/f.u.
* final energy: -59.9 eV per cell

```
Pm6CuNi2Cl3
1.0
9.338 -2.009 0.000
9.338 2.009 0.000
-2.833 0.000 8.199
Pm Cu Ni Cl
6 1 2 3
Direct
0.009 0.009 0.242 Pm
0.322 0.322 0.443 Pm
0.340 0.340 0.895 Pm
0.660 0.660 0.105 Pm
0.678 0.678 0.557 Pm
0.991 0.991 0.758 Pm
0.500 0.500 0.000 Cu
0.164 0.164 0.328 Ni
0.836 0.836 0.672 Ni
0.166 0.166 0.832 Cl
0.500 0.500 0.500 Cl
0.834 0.834 0.168 Cl
```

# 3
This record from Alexandria via LeMat-Bulk describes a relaxed PrSmTeO6 crystal. The functional is PBE-GGA.

Properties
* symmetry: P-31c, No. 163
* energy relative to the elements, uncorrected: -21.37 eV/f.u.
* final energy: -127.5 eV per cell

```
PrSmTeO6
1.0
5.710 0.000 0.000
-2.855 4.945 0.000
0.000 0.000 9.788
Pr Sm Te O
2 2 2 12
Direct
0.000 0.000 0.000 Pr
0.000 0.000 0.500 Pr
0.333 0.667 0.250 Sm
0.667 0.333 0.750 Sm
0.333 0.667 0.750 Te
0.667 0.333 0.250 Te
0.050 0.381 0.637 O
0.050 0.669 0.863 O
0.331 0.381 0.863 O
0.331 0.950 0.637 O
0.381 0.050 0.137 O
0.381 0.331 0.363 O
0.619 0.669 0.637 O
0.619 0.950 0.863 O
0.669 0.050 0.363 O
0.669 0.619 0.137 O
0.950 0.331 0.137 O
0.950 0.619 0.363 O
```

# 4
This record from Alexandria via LeMat-Bulk describes a relaxed Rb3CaDy2Te6 crystal. The functional is PBE-GGA.

Properties
* symmetry: C2/m, No. 12
* energy relative to the elements, uncorrected: -15.52 eV/f.u.
* final energy: -48.5 eV per cell

```
Rb3CaDy2Te6
1.0
3.923 -6.795 0.000
3.923 6.795 0.000
-2.614 0.000 8.648
Rb Ca Dy Te
3 1 2 6
Direct
0.000 0.000 0.000 Rb
0.336 0.664 0.000 Rb
0.664 0.336 0.000 Rb
0.500 0.500 0.500 Ca
0.167 0.833 0.500 Dy
0.833 0.167 0.500 Dy
0.090 0.433 0.299 Te
0.224 0.224 0.700 Te
0.433 0.090 0.299 Te
0.567 0.910 0.701 Te
0.776 0.776 0.300 Te
0.910 0.567 0.701 Te
```